This record from Alexandria describes an optimized crystal structure of Li3WF7. The functional is GGA+U.

Values from the calculation:
**Spin magnetization**: 2.00 μB per formula unit
**Electronic total energy**: -5.201 eV per atom
**Density of states at the Fermi level**: 0.0 states/eV/f.u.
**Volume**: 139.9 Å³ per cell

Cell: 5.2174 5.2174 5.2174 Å, 95.52 95.52 95.52°
Last column: nearest neighbours and their distance in Å.
Element x y z (fractional)
Li  0.0553  0.4723  0.4723  3 F 1.84-1.96
Li  0.4723  0.0553  0.4723  3 F 1.84-1.96
Li  0.4723  0.4723  0.0553  3 F 1.84-1.96
W  0.0098  0.0098  0.0098  7 F 2.02-2.14
F  0.0963  0.7376  0.7376  1 Li 1.84, 1 W 2.02
F  0.2425  0.2425  0.7938  1 Li 1.96, 1 W 2.11
F  0.2425  0.7939  0.2425  1 Li 1.96, 1 W 2.11
F  0.2729  0.2729  0.2729  3 Li 1.92, 1 W 2.14
F  0.7376  0.0963  0.7376  1 Li 1.84, 1 W 2.02
F  0.7376  0.7376  0.0963  1 Li 1.84, 1 W 2.02
F  0.7938  0.2425  0.2425  1 Li 1.96, 1 W 2.11